Record 1
The following is a PBE calculation of a relaxed structure of OsRh2Pb, from Alexandria.

The uncorrected energy comes out at -0.5142 Ry per atom. The total moment is 0.0000 μB per atom. As for the calculated formation energy: 0.41 eV per atom. For the density of states at the Fermi level, the calculation gives 7.02 states/eV per cell.

Cell lengths 4.100, 4.100, 7.730 Å; angles 90.00, 90.00, 90.00 degrees
Space group I-4m2 (No. 119)
Unique sites:
Os1 0.000 0.000 0.000
Rh1 0.000 0.000 0.500
Rh2 0.000 0.500 0.250
Pb1 0.000 0.500 0.750

=====

Record 2
The following is a PBE calculation of a relaxed structure of OsRh2Pb, from Alexandria.

The uncorrected energy comes out at -0.5133 Ry per atom. The total moment is 0.0000 μB per atom. As for the calculated formation energy: 0.43 eV per atom. For the density of states at the Fermi level, the calculation gives 10.13 states/eV per cell.

Cell lengths 2.9192, 2.9192, 27.2929 Å; angles 90.00, 90.00, 120.00 degrees
Space group R-3m (No. 166, hexagonal axes)
Unique sites:
Os1 0.0000 0.0000 0.0000
Rh1 0.0000 0.0000 0.2565
Pb1 0.0000 0.0000 0.5000

=====

calculated formation energy of number 2 (OsRh2Pb)?
0.43 eV per atom

=====

Copy entry 2 word for word.
The following is a PBE calculation of a relaxed structure of OsRh2Pb, from Alexandria.

The uncorrected energy comes out at -0.5133 Ry per atom. The total moment is 0.0000 μB per atom. As for the calculated formation energy: 0.43 eV per atom. For the density of states at the Fermi level, the calculation gives 10.13 states/eV per cell.

Cell lengths 2.9192, 2.9192, 27.2929 Å; angles 90.00, 90.00, 120.00 degrees
Space group R-3m (No. 166, hexagonal axes)
Unique sites:
Os1 0.0000 0.0000 0.0000
Rh1 0.0000 0.0000 0.2565
Pb1 0.0000 0.0000 0.5000

=====

total moment of number 1 (OsRh2Pb)?
0.0000 μB per atom